Compound: AcZn2IrRh
Source: Alexandria
Functional: PBE-GGA
Structure: optimized geometry

a b c (Å): 4.0629 4.2386 11.4839
angles (deg): 90.00 90.00 90.00
Space group Imm2 (No. 44)
One atom of each set of equivalent atoms:
Ac 0.0000 0.0000 0.0000 (multiplicity 2)
Zn 0.0000 0.0000 0.3658 (multiplicity 2)
Zn 0.0000 0.5000 0.2344 (multiplicity 2)
Ir 0.0000 0.5000 0.7292 (multiplicity 2)
Rh 0.0000 0.0000 0.5903 (multiplicity 2)

Crystal system   orthorhombic
E_form   -344 meV per atom
Size of the total moment   0.0 μB per formula unit



Compound: Nd5DyIn5
Source: Alexandria
Functional: PBE-GGA
Structure: optimized geometry

a b c (Å): 18.0773 5.8339 7.0366
angles (deg): 90.00 112.73 90.00
Space group C2/m (No. 12)
One atom of each set of equivalent atoms:
Nd 0.0000 0.0000 0.0000 (multiplicity 2)
Nd 0.1380 0.5000 0.1401 (multiplicity 4)
Nd 0.1885 0.5000 0.6901 (multiplicity 4)
Dy 0.0000 0.0000 0.5000 (multiplicity 2)
In 0.0000 0.5000 0.5000 (multiplicity 2)
In 0.1630 0.0000 0.4413 (multiplicity 4)
In 0.1629 0.0000 0.8850 (multiplicity 4)

Crystal system   monoclinic
E_form   -241 meV per atom
Size of the total moment   0.0 μB per formula unit



Compound: Tb2Pr8Th3
Source: Alexandria
Functional: PBE-GGA
Structure: optimized geometry

a b c (Å): 13.3013 11.8592 6.2018
angles (deg): 90.00 112.42 90.00
Space group C2/m (No. 12)
One atom of each set of equivalent atoms:
Tb 0.2080 0.0000 0.3587 (multiplicity 4)
Pr 0.0601 0.0000 0.7951 (multiplicity 4)
Pr 0.1504 0.5000 0.0582 (multiplicity 4)
Pr 0.1705 0.2503 0.6763 (multiplicity 8)
Th 0.0000 0.2593 0.0000 (multiplicity 4)
Th 0.0000 0.5000 0.5000 (multiplicity 2)

Crystal system   monoclinic
E_form   207 meV per atom
Size of the total moment   0.0 μB per formula unit



Compound: Pu3Cd7Pd4
Source: Alexandria
Functional: PBE-GGA
Structure: optimized geometry

a b c (Å): 16.3389 4.3384 10.5945
angles (deg): 90.00 123.54 90.00
Space group C2/m (No. 12)
One atom of each set of equivalent atoms:
Pu 0.0000 0.0000 0.0000 (multiplicity 2)
Pu 0.2011 0.5000 0.7143 (multiplicity 4)
Cd 0.0000 0.0000 0.5000 (multiplicity 2)
Cd 0.0136 0.5000 0.3070 (multiplicity 4)
Cd 0.1660 0.0000 0.4370 (multiplicity 4)
Cd 0.1751 0.5000 0.0088 (multiplicity 4)
Pd 0.1156 0.0000 0.8155 (multiplicity 4)
Pd 0.1604 0.5000 0.2530 (multiplicity 4)

Crystal system   monoclinic
E_form   -274 meV per atom
Size of the total moment   17.2 μB per formula unit



Compound: NdTmAlCd
Source: Alexandria
Functional: PBE-GGA
Structure: optimized geometry

a b c (Å): 3.6572 3.6572 7.6344
angles (deg): 90.00 90.00 90.00
Space group P4mm (No. 99)
One atom of each set of equivalent atoms:
Nd 0.0000 0.0000 0.0000 (multiplicity 1)
Tm 0.0000 0.0000 0.4760 (multiplicity 1)
Al 0.5000 0.5000 0.2528 (multiplicity 1)
Cd 0.5000 0.5000 0.7148 (multiplicity 1)

ΔE to the lowest computed polymorph   0.000 eV per atom
Crystal system   tetragonal
E_form   -352 meV per atom
Size of the total moment   0.0 μB per formula unit



Compound: LiDyTm2S5
Source: Alexandria
Functional: PBE-GGA
Structure: optimized geometry

a b c (Å): 3.9156 15.6288 13.0314
angles (deg): 90.00 90.00 90.00
Space group Cmc2_1 (No. 36)
One atom of each set of equivalent atoms:
Li 0.0000 0.0123 0.0000 (multiplicity 4)
Dy 0.0000 0.2875 0.5232 (multiplicity 4)
Tm 0.0000 0.3713 0.7748 (multiplicity 4)
Tm 0.0000 0.3975 0.2106 (multiplicity 4)
S 0.0000 0.0104 0.3148 (multiplicity 4)
S 0.0000 0.1243 0.5779 (multiplicity 4)
S 0.0000 0.2127 0.8783 (multiplicity 4)
S 0.0000 0.2222 0.1797 (multiplicity 4)
S 0.0000 0.4460 0.5920 (multiplicity 4)

Formation energy without anion corrections   -1.85 eV per atom
Crystal system   orthorhombic
Size of the total moment   0.0 μB per formula unit



Compound: CaAc8Pm2
Source: Alexandria
Functional: PBE-GGA
Structure: optimized geometry

a b c (Å): 5.8847 9.9197 16.5284
angles (deg): 90.00 90.00 90.00
Space group Immm (No. 71)
One atom of each set of equivalent atoms:
Ca 0.0000 0.0000 0.0000 (multiplicity 2)
Ac 0.0000 0.1857 0.5000 (multiplicity 4)
Ac 0.0000 0.2875 0.1604 (multiplicity 8)
Ac 0.0000 0.5000 0.3526 (multiplicity 4)
Pm 0.0000 0.0000 0.2951 (multiplicity 4)

Crystal system   orthorhombic
E_form   119 meV per atom
Size of the total moment   0.0 μB per formula unit



Compound: ZrSc2Pd4
Source: Alexandria
Functional: PBE-GGA
Structure: optimized geometry

a b c (Å): 6.5026 6.5026 6.4695
angles (deg): 90.00 90.00 90.00
Space group I4/mmm (No. 139)
One atom of each set of equivalent atoms:
Zr 0.0000 0.0000 0.0000 (multiplicity 2)
Sc 0.0000 0.5000 0.0000 (multiplicity 4)
Pd 0.2500 0.2500 0.2500 (multiplicity 8)

Crystal system   tetragonal
E_form   -533 meV per atom
Size of the total moment   0.0 μB per formula unit



Which of these has the highest size of the total moment?
Pu3Cd7Pd4



Number 6 is which compound?
LiDyTm2S5



What is the formula in the fifth record?
NdTmAlCd